No. 1
3
Lattice="0.0000 3.4474 3.4474 3.4474 0.0000 3.4474 3.4474 3.4474 0.0000" Properties=species:S:1:pos:R:3 comment="PrRePb GGA-PBE optimized geometry" dft_energy_ev_per_atom=-6.02 total_magnetization_mub_per_fu=0.15 pbc="T T T"
Pr 0.0000 0.0000 0.0000
Re 3.4474 3.4474 3.4474
Pb 1.7237 1.7237 1.7237



No. 2
3
Lattice="0.0000 3.7285 3.7285 3.7285 0.0000 3.7285 3.7285 3.7285 0.0000" Properties=species:S:1:pos:R:3 comment="PmDyPa GGA-PBE optimized geometry" total_magnetization_mub_per_fu=2.23 e_form_kj_per_mol_fu=315.3 pbc="T T T"
Pm 0.0000 0.0000 0.0000
Dy 5.5928 5.5928 5.5928
Pa 3.7285 3.7285 3.7285



No. 3
9
Lattice="4.1792 0.0000 0.0000 0.0000 6.7422 3.8643 0.0000 -6.7422 3.8643" Properties=species:S:1:pos:R:3 comment="NdY2Mg3CuHg2 GGA-PBE optimized geometry" dft_energy_ev_per_atom=-3.31 total_magnetization_mub_per_fu=0.07 pbc="T T T"
Nd 0.0000 0.0000 0.0000
Y 0.0000 -2.7008 4.6621
Y 0.0000 2.7008 4.6621
Mg 2.0896 -1.5965 2.2147
Mg 2.0896 1.5965 2.2147
Mg 2.0896 0.0000 4.9226
Cu 0.0000 0.0000 3.1439
Hg 2.0896 -4.4475 3.1037
Hg 2.0896 4.4475 3.1037



No. 4
8
Lattice="4.1646 0.0000 0.0000 0.0000 6.1827 0.0000 0.0000 0.0000 5.6659" Properties=species:S:1:pos:R:3 comment="YSiPd2 GGA-PBE optimized geometry" dft_energy_ev_per_atom=-6.32 total_magnetization_mub_per_fu=0.00 pbc="T T T"
Y 0.0000 0.5337 0.0000
Y 2.0823 5.6490 2.8329
Si 0.0000 3.7697 4.3257
Si 2.0823 2.4130 1.4928
Pd 0.0000 1.6196 2.7485
Pd 0.0000 4.0494 1.6181
Pd 2.0823 2.1333 4.4510
Pd 2.0823 4.5631 5.5815



No. 5
7
Lattice="3.8666 -5.8323 0.0000 3.8666 5.8323 0.0000 -0.0285 0.0000 3.6472" Properties=species:S:1:pos:R:3 comment="Pr4TmN2 GGA-PBE optimized geometry" dft_energy_ev_per_atom=-5.76 total_magnetization_mub_per_fu=0.03 pbc="T T T"
Pr 1.4887 0.0000 1.8001
Pr 3.8666 2.9917 0.0000
Pr 3.8666 -2.9917 0.0000
Pr 6.2160 0.0000 1.8471
Tm 3.8666 0.0000 0.0000
N 1.9190 2.9161 1.8236
N 1.9190 -2.9161 1.8236



No. 6
4
Lattice="0.0000 3.1277 3.1277 3.1277 0.0000 3.1277 3.1277 3.1277 0.0000" Properties=species:S:1:pos:R:3 comment="MgTaCoAs GGA-PBE optimized geometry" dft_energy_ev_per_atom=-5.93 total_magnetization_mub_per_fu=0.52 pbc="T T T"
Mg 0.0000 0.0000 0.0000
Ta 1.5639 1.5639 1.5639
Co 4.6916 4.6916 4.6916
As 3.1277 3.1277 3.1277



No. 7
11
Lattice="-2.2527 2.2709 12.7332 2.2527 -2.2709 12.7332 2.2527 2.2709 -12.7332" Properties=species:S:1:pos:R:3 comment="Sr3Ag2Ge4Pd2 GGA-PBE optimized geometry" dft_energy_ev_per_atom=-4.17 pbc="T T T"
Sr 0.0000 0.0000 0.0000
Sr 2.2527 0.0000 8.9275
Sr 0.0000 2.2709 3.8056
Ag 2.2527 0.0000 2.5228
Ag 0.0000 2.2709 10.2104
Ge 2.2527 0.0000 5.1615
Ge 0.0000 0.0000 11.4934
Ge 0.0000 0.0000 13.9729
Ge 0.0000 2.2709 7.5717
Pd 0.0000 0.0000 6.3593
Pd 0.0000 0.0000 19.1070



No. 8
13
Lattice="2.6726 1.5430 8.8810 -2.6726 1.5430 8.8810 0.0000 -3.0861 8.8810" Properties=species:S:1:pos:R:3 comment="Al7W6 GGA-PBE optimized geometry" dft_energy_ev_per_atom=-7.82 total_magnetization_mub_per_fu=0.65 pbc="T T T"
Al 0.0000 0.0000 0.0000
Al 0.0000 0.0000 4.4376
Al 0.0000 0.0000 9.2942
Al 0.0000 0.0000 11.9763
Al 0.0000 0.0000 14.6666
Al 0.0000 0.0000 17.3487
Al 0.0000 0.0000 22.2053
W 0.0000 -1.5293 6.7540
W -1.3244 0.7646 6.7540
W -1.3244 -0.7646 19.8889
W 1.3244 0.7646 6.7540
W 1.3244 -0.7646 19.8889
W 0.0000 1.5293 19.8889



No. 9
12
Lattice="3.6102 -6.2713 0.0000 3.6102 6.2713 0.0000 -2.4206 0.0000 6.7942" Properties=species:S:1:pos:R:3 comment="PmSm5Se6 GGA-PBE optimized geometry" dft_energy_ev_per_atom=-5.92 total_magnetization_mub_per_fu=0.03 pbc="T T T"
Pm 0.0000 0.0000 0.0000
Sm 2.3999 4.1940 3.3971
Sm 3.6102 2.0891 0.0000
Sm 2.3999 0.0000 3.3971
Sm 3.6102 -2.0891 0.0000
Sm 2.3999 -4.1940 3.3971
Se 1.2055 2.1000 1.7056
Se 0.0000 0.0000 5.0949
Se 1.2055 -2.1000 1.7056
Se 3.5944 2.1000 5.0886
Se 4.7998 0.0000 1.6993
Se 3.5944 -2.1000 5.0886



No. 10
9
Lattice="6.5151 0.0000 0.0000 -3.2575 5.6422 0.0000 0.0000 0.0000 3.6227" Properties=species:S:1:pos:R:3 comment="MgCuP GGA-PBE optimized geometry" dft_energy_ev_per_atom=-3.81 pbc="T T T"
Mg -1.9747 3.4203 0.0000
Mg 1.2828 2.2219 0.0000
Mg 3.9495 0.0000 0.0000
Cu 0.0000 0.0000 0.0000
Cu 0.0000 3.7615 1.8114
Cu 3.2575 1.8807 1.8114
P -0.9298 1.6104 1.8114
P 1.8595 0.0000 1.8114
P 2.3278 4.0318 1.8114



What is the formula in the first record? PrRePb